Entry 1:
Ac2GaSn3Rh4 PBE optimized geometry; ΔE_f = -0.7369 eV per atom; crystal system = tetragonal; DFT total energy = -60.03 eV per cell
1.0
4.539 0.000 0.000
0.000 4.539 0.000
0.000 0.000 10.842
Ac Ga Sn Rh
2 1 3 4
direct
0.000 0.500 0.246 Ac
0.500 0.000 0.754 Ac
0.500 0.500 0.000 Ga
0.000 0.000 0.000 Sn
0.000 0.500 0.629 Sn
0.500 0.000 0.371 Sn
0.000 0.000 0.500 Rh
0.000 0.500 0.874 Rh
0.500 0.000 0.126 Rh
0.500 0.500 0.500 Rh

Entry 2:
Ac2GaSnRh6 PBE optimized geometry; ΔE_f = -0.2127 eV per atom; crystal system = triclinic; DFT total energy = -61.48 eV per cell
1.0
6.763 0.000 0.000
3.378 5.860 0.000
3.380 1.950 5.529
Ac Ga Sn Rh
2 1 1 6
direct
0.250 0.250 0.250 Ac
0.750 0.750 0.750 Ac
0.000 0.000 0.000 Ga
0.500 0.500 0.500 Sn
0.242 0.242 0.758 Rh
0.242 0.758 0.242 Rh
0.242 0.758 0.758 Rh
0.758 0.242 0.242 Rh
0.758 0.242 0.758 Rh
0.758 0.758 0.242 Rh